1.
DFT (GGA-PBE) results for a geometry-optimized LaSi2Mo structure.

Cell: 3.3351 3.3351 6.8992 Å, 90.00 90.00 90.00°
Fractional positions:
La1 0.0000 0.0000 0.5033
Mo1 0.5000 0.5000 0.8318
Si1 0.0000 0.0000 0.9830
Si2 0.5000 0.5000 0.1819

Summary:
Energy relative to the lowest polymorph listed for this composition = 8.36 kcal/mol of atoms
Raw total energy = -6.733 eV per atom
Energy relative to the elements, uncorrected = -0.082 eV per atom



2.
DFT (GGA-PBE) results for a geometry-optimized LaSiMo2 structure.

Cell: 4.3243 4.3243 5.9621 Å, 68.68 68.68 60.01°
Fractional positions:
La1 0.2513 0.2513 0.2459
Mo1 0.0471 0.0471 0.8588
Mo2 0.7503 0.7503 0.7490
Si1 0.4513 0.4513 0.6462

Summary:
Raw total energy = -8.062 eV per atom
Energy relative to the elements, uncorrected = -0.059 eV per atom



3.
DFT (GGA-PBE) results for a geometry-optimized LaSi2Mo structure.

Cell: 4.5411 4.5411 6.4881 Å, 62.53 62.53 46.37°
Fractional positions:
La1 0.4653 0.4653 0.5236
Mo1 0.6781 0.6781 0.9853
Si1 0.0292 0.0292 0.8583
Si2 0.3275 0.3275 0.1328

Summary:
Energy relative to the lowest polymorph listed for this composition = 3.81 kcal/mol of atoms
Raw total energy = -6.931 eV per atom
Energy relative to the elements, uncorrected = -0.280 eV per atom



4.
DFT (GGA-PBE) results for a geometry-optimized LaSi2Mo structure.

Cell: 4.5093 4.5093 5.6674 Å, 72.47 72.47 48.54°
Fractional positions:
La1 0.2500 0.2500 0.2500
Mo1 0.7500 0.7500 0.7500
Si1 0.0222 0.0222 0.8843
Si2 0.4778 0.4778 0.6157

Summary:
Energy relative to the lowest polymorph listed for this composition = 0.00 kcal/mol of atoms
Raw total energy = -7.096 eV per atom
Energy relative to the elements, uncorrected = -0.445 eV per atom



5.
DFT (GGA-PBE) results for a geometry-optimized LaSiMo2 structure.

Cell: 5.3587 5.3587 2.7615 Å, 90.00 90.00 111.01°
Fractional positions:
La1 0.0000 0.5000 0.5000
Mo1 0.0000 0.0000 0.0000
Mo2 0.5000 0.5000 0.0000
Si1 0.5000 0.0000 0.5000

Summary:
Raw total energy = -7.340 eV per atom
Energy relative to the elements, uncorrected = 0.663 eV per atom



6.
DFT (GGA-PBE) results for a geometry-optimized LaSiMo2 structure.

Cell: 9.1876 9.1876 9.1876 Å, 19.72 19.72 19.72°
Fractional positions:
La1 0.7494 0.7494 0.7494
Mo1 0.9874 0.9874 0.9874
Mo2 0.2498 0.2498 0.2498
Si1 0.5134 0.5134 0.5134

Summary:
Raw total energy = -7.671 eV per atom
Energy relative to the elements, uncorrected = 0.332 eV per atom



7.
DFT (GGA-PBE) results for a geometry-optimized LaSi3Mo structure.

Cell: 4.7322 4.7322 4.7322 Å, 90.00 90.00 90.00°
Fractional positions:
Mo1 0.0000 0.0000 0.0000
Si1 0.0000 0.5000 0.0000
Si2 0.0000 0.0000 0.5000
Si3 0.5000 0.0000 0.0000
La1 0.5000 0.5000 0.5000

Summary:
Energy relative to the lowest polymorph listed for this composition = 0.00 kcal/mol of atoms
Raw total energy = -6.537 eV per atom
Energy relative to the elements, uncorrected = -0.132 eV per atom



8.
DFT (GGA-PBE) results for a geometry-optimized LaSiMo2 structure.

Cell: 4.7410 4.7410 4.7410 Å, 119.95 119.95 90.08°
Fractional positions:
La1 0.7500 0.2500 0.5000
Mo1 0.0000 0.0000 0.0000
Mo2 0.2500 0.7500 0.5000
Si1 0.5000 0.5000 0.0000

Summary:
Raw total energy = -7.659 eV per atom
Energy relative to the elements, uncorrected = 0.344 eV per atom



9.
DFT (GGA-PBE) results for a geometry-optimized LaSi4Mo structure.

Cell: 5.2443 5.2443 5.2443 Å, 60.00 60.00 60.00°
Each line ends with the local moment (μB).
Fractional positions:
La1 0.7500 0.7500 0.7500  0.02
Si1 0.8876 0.3708 0.3708  0.01
Si2 0.3708 0.3708 0.8876  0.01
Si3 0.3708 0.8876 0.3708  0.01
Si4 0.3708 0.3708 0.3708  0.01
Mo1 0.0000 0.0000 0.0000  0.60

Summary:
Raw total energy = -6.016 eV per atom
Energy relative to the elements, uncorrected = 0.225 eV per atom



10.
DFT (GGA-PBE) results for a geometry-optimized LaSiMo2 structure.

Cell: 5.4887 5.4093 3.0064 Å, 90.70 73.74 119.74°
Fractional positions:
La1 0.5000 0.0000 0.5000
Mo1 0.0000 0.0000 0.0000
Mo2 0.0000 0.5000 0.5000
Si1 0.5000 0.5000 0.0000

Summary:
Raw total energy = -7.586 eV per atom
Energy relative to the elements, uncorrected = 0.417 eV per atom



11.
DFT (GGA-PBE) results for a geometry-optimized LaSi2Mo structure.

Cell: 4.9388 4.9388 8.8300 Å, 73.76 73.76 90.00°
Fractional positions:
Mo1 0.5000 0.5000 0.0000
Mo2 0.2500 0.7500 0.5000
Si1 0.3761 0.1250 0.2500
Si2 0.3739 0.6250 0.2500
Si3 0.3750 0.6239 0.7500
Si4 0.8750 0.6261 0.7500
La1 0.0000 0.0000 0.0000
La2 0.7500 0.2500 0.5000

Summary:
Energy relative to the lowest polymorph listed for this composition = 7.95 kcal/mol of atoms
Raw total energy = -6.751 eV per atom
Energy relative to the elements, uncorrected = -0.100 eV per atom



12.
DFT (GGA-PBE) results for a geometry-optimized La4SiMo structure.

Cell: 6.2509 6.2509 6.2509 Å, 60.00 60.00 60.00°
Each line ends with the local moment (μB).
Fractional positions:
La1 0.8736 0.3755 0.3755  -0.17
La2 0.3755 0.3755 0.8736  -0.17
La3 0.3755 0.8736 0.3755  -0.17
La4 0.3755 0.3755 0.3755  -0.17
Si1 0.0000 0.0000 0.0000  0.01
Mo1 0.7500 0.7500 0.7500  2.06

Summary:
Raw total energy = -5.141 eV per atom
Energy relative to the elements, uncorrected = 0.853 eV per atom



Look up the energy relative to the elements, uncorrected of the tenth one. 0.417 eV per atom



energy relative to the elements, uncorrected of number 9 (LaSi4Mo)? 0.225 eV per atom